# 1
A relaxed LiInRu2 crystal, computed with PBE.

Output
Symmetry: Imm2
Crystal system: orthorhombic
Calculated volume (Å³/cell): 122.6
Energy of formation (eV per atom): 0.19

Cell: 3.0452 4.5171 8.9163 Å, 90.00 90.00 90.00°
Last column: nearest neighbours and their distance in Å.
Sites, in units of the cell vectors:
Li: 0.0000 0.0000 0.0000  6 Ru 2.65-2.73, 2 In 2.76
Li: 0.5000 0.5000 0.5000  6 Ru 2.65-2.73, 2 In 2.76
In: 0.0000 0.5000 0.2420  6 Ru 2.72-2.80, 2 Li 2.76, 2 In 3.05
In: 0.5000 0.0000 0.7420  6 Ru 2.72-2.80, 2 Li 2.76, 2 In 3.05
Ru: 0.0000 0.0000 0.4781  2 Ru 2.58, 4 Li 2.73, 2 In 2.80
Ru: 0.0000 0.5000 0.7438  2 Ru 2.58, 2 Li 2.65, 4 In 2.72
Ru: 0.5000 0.0000 0.2438  2 Ru 2.58, 2 Li 2.65, 4 In 2.72
Ru: 0.5000 0.5000 0.9781  2 Ru 2.58, 4 Li 2.73, 2 In 2.80

# 2
A relaxed LiInRu crystal, computed with PBE.

Output
Symmetry: P3m1
Crystal system: trigonal
Calculated volume (Å³/cell): 47.5
Energy of formation (eV per atom): 0.05

Cell: 4.4281 4.4281 2.7946 Å, 90.00 90.00 120.00°
Last column: nearest neighbours and their distance in Å.
Sites, in units of the cell vectors:
Li: 0.0000 0.0000 0.0000  3 In 2.66, 3 Ru 2.69, 2 Li 2.79
In: 0.3333 0.6667 0.7329  3 Li 2.66, 2 In 2.79, 3 Ru 2.83
Ru: 0.6667 0.3333 0.3025  3 Li 2.69, 2 Ru 2.79, 6 In 2.83-3.01

# 3
A relaxed LiInRu2 crystal, computed with PBE.

Output
Symmetry: R-3m
Crystal system: trigonal
Calculated volume (Å³/cell): 189.1
Energy of formation (eV per atom): 0.38

Cell: 2.8778 2.8778 26.3652 Å, 90.00 90.00 120.00°
Last column: nearest neighbours and their distance in Å.
Sites, in units of the cell vectors:
Li: 0.0000 0.0000 0.0000  6 Ru 2.73, 6 Li 2.88
Li: 0.3333 0.6667 0.6667  6 Ru 2.73, 6 Li 2.88
Li: 0.6667 0.3333 0.3333  6 Ru 2.73, 6 Li 2.88
In: 0.0000 0.0000 0.5000  6 Ru 2.77, 6 In 2.88
In: 0.3333 0.6667 0.1667  6 Ru 2.77, 6 In 2.88
In: 0.6667 0.3333 0.8333  6 Ru 2.77, 6 In 2.88
Ru: 0.0000 0.0000 0.2510  3 Li 2.73, 3 In 2.77, 6 Ru 2.88
Ru: 0.0000 0.0000 0.7490  3 Li 2.73, 3 In 2.77, 6 Ru 2.88
Ru: 0.3333 0.6667 0.4157  3 Li 2.73, 3 In 2.77, 6 Ru 2.88
Ru: 0.3333 0.6667 0.9176  3 Li 2.73, 3 In 2.77, 6 Ru 2.88
Ru: 0.6667 0.3333 0.0824  3 Li 2.73, 3 In 2.77, 6 Ru 2.88
Ru: 0.6667 0.3333 0.5843  3 Li 2.73, 3 In 2.77, 6 Ru 2.88

no.,magnetic moment (μB per cell)
1,1.5
2,0.0
3,0.0